A relaxed structure of BeIn2Ru. Source: the Alexandria database, functional GGA-PBE.

Results
SG: Pm
energy relative to the elements: 0.05 eV per atom

abc: 3.5672 3.9052 5.2944
angles: 90.00 109.37 90.00
Sites, in units of the cell vectors:
Be 0.0000 0.0000 0.0000
In 0.2898 0.0000 0.5793
In 0.5961 0.5000 0.1985
Ru 0.8826 0.5000 0.7678



A relaxed structure of ScBeFe2. Source: the Alexandria database, functional GGA-PBE.

Results
SG: P4mm
energy relative to the elements: -0.03 eV per atom

abc: 2.9548 2.9548 5.9428
angles: 90.00 90.00 90.00
Sites, in units of the cell vectors:
Sc 0.0000 0.0000 0.0000
Be 0.5000 0.5000 0.3151
Fe 0.0000 0.0000 0.4890
Fe 0.5000 0.5000 0.7071



A relaxed structure of Ac2DyHo6. Source: the Alexandria database, functional GGA-PBE.

Results
SG: P2/m
energy relative to the elements: 0.14 eV per atom

abc: 8.7653 3.6243 10.0323
angles: 90.00 102.00 90.00
Sites, in units of the cell vectors:
Ac 0.1949 0.0000 0.4637
Ac 0.8051 0.0000 0.5363
Dy 0.5000 0.5000 0.0000
Ho 0.1217 0.5000 0.7859
Ho 0.1827 0.0000 0.0983
Ho 0.4789 0.5000 0.3235
Ho 0.5211 0.5000 0.6765
Ho 0.8173 0.0000 0.9017
Ho 0.8783 0.5000 0.2141



A relaxed structure of ScBTeI2. Source: the Alexandria database, functional GGA-PBE.

Results
SG: P4/mmm
polymorph energy (0 for the lowest one): 0.0 kJ/mol of formula units
ΔE_f (raw): 2.17 eV per formula unit

abc: 5.0655 5.0655 5.0242
angles: 90.00 90.00 90.00
Sites, in units of the cell vectors:
Sc 0.0000 0.0000 0.0000
B 0.5000 0.5000 0.5000
Te 0.5000 0.5000 0.0000
I 0.0000 0.5000 0.5000
I 0.5000 0.0000 0.5000



A relaxed structure of PuOF5. Source: the Alexandria database, functional GGA-PBE.

Results
SG: P-1
ΔE_f (raw): -17.80 eV per formula unit

abc: 5.4336 6.0421 7.6857
angles: 95.52 91.53 91.07
Sites, in units of the cell vectors:
Pu 0.0000 0.0000 0.0000
Pu 0.5000 0.5000 0.5000
O 0.1493 0.9832 0.2066
O 0.8507 0.0168 0.7934
F 0.1367 0.6979 0.9090
F 0.1909 0.3486 0.5661
F 0.3059 0.1550 0.9137
F 0.3522 0.7969 0.5591
F 0.3647 0.4967 0.2566
F 0.6353 0.5033 0.7434
F 0.6478 0.2031 0.4409
F 0.6941 0.8450 0.0863
F 0.8091 0.6514 0.4339
F 0.8633 0.3021 0.0910



A relaxed structure of TaMo3. Source: the Alexandria database, functional GGA-PBE.

Results
SG: R-3m
energy relative to the elements: 0.26 eV per atom

abc: 8.6060 8.6060 8.6060
angles: 20.33 20.33 20.33
Sites, in units of the cell vectors:
Ta 0.0000 0.0000 0.0000
Mo 0.2477 0.2477 0.2477
Mo 0.5000 0.5000 0.5000
Mo 0.7523 0.7523 0.7523



A relaxed structure of HgTe2Br. Source: the Alexandria database, functional GGA-PBE.

Results
SG: C2/m
polymorph energy (0 for the lowest one): 53.0 kJ/mol of formula units
ΔE_f (raw): 0.11 eV per formula unit

abc: 5.4253 5.4253 5.3992
angles: 110.38 110.38 107.53
Sites, in units of the cell vectors:
Hg 0.0000 0.0000 0.0000
Te 0.0000 0.5000 0.5000
Te 0.5000 0.0000 0.5000
Br 0.5000 0.5000 0.0000



A relaxed structure of Ge2Se. Source: the Alexandria database, functional GGA-PBE.

Results
SG: Pm
polymorph energy (0 for the lowest one): 2.0 kJ/mol of formula units
ΔE_f (raw): -0.14 eV per formula unit

abc: 6.2818 3.9442 6.5992
angles: 90.00 96.33 90.00
Sites, in units of the cell vectors:
Ge 0.0000 0.0000 0.0000
Ge 0.1088 0.5000 0.8148
Ge 0.2232 0.0000 0.3515
Ge 0.5953 0.0000 0.0449
Se 0.5013 0.5000 0.7888
Se 0.9719 0.5000 0.4503